Here is a geometry-optimized NiTeP2O8 structure from Alexandria via LeMat-Bulk. Energies are from PBEsol.

Results
Crystal system: monoclinic
E_form (uncorrected) in meV per atom: -1603
Calculated volume in Å³ per cell: 284.3
E in eV/atom: -6.874
SG: P2_1/m (11)
ρ in g/cm3: 4.396

Lattice parameters (Å, degrees): 4.7113 6.3599 9.6249 90.00 99.71 90.00
Last column: nearest neighbours and their distance in Å.
Fractional positions:
Ni (0.1388, 0.2500, 0.2245)  2 O 1.91-1.96
Ni (0.8612, 0.7500, 0.7755)  2 O 1.91-1.96
Te (0.3129, 0.2500, 0.6833)  3 O 1.93-2.14
Te (0.6871, 0.7500, 0.3167)  3 O 1.93-2.14
P (0.1548, 0.7500, 0.1064)  4 O 1.50-1.59
P (0.2643, 0.7500, 0.5903)  4 O 1.53-1.56
P (0.7357, 0.2500, 0.4097)  4 O 1.53-1.56
P (0.8452, 0.2500, 0.8936)  4 O 1.50-1.59
O (0.1249, 0.7500, 0.9492)  1 P 1.50
O (0.1310, 0.7500, 0.4338)  1 P 1.53
O (0.1534, 0.5662, 0.6746)  1 P 1.56
O (0.1534, 0.9338, 0.6746)  1 P 1.56
O (0.1626, 0.2500, 0.8580)  1 P 1.59
O (0.3253, 0.5581, 0.1806)  1 P 1.57
O (0.3253, 0.9419, 0.1806)  1 P 1.57
O (0.4090, 0.2500, 0.4033)  1 P 1.53
O (0.5910, 0.7500, 0.5967)  1 P 1.53
O (0.6747, 0.0581, 0.8194)  1 P 1.57
O (0.6747, 0.4419, 0.8194)  1 P 1.57
O (0.8374, 0.7500, 0.1420)  1 P 1.59
O (0.8466, 0.0662, 0.3254)  1 P 1.56
O (0.8466, 0.4338, 0.3254)  1 P 1.56
O (0.8690, 0.2500, 0.5662)  1 P 1.53
O (0.8751, 0.2500, 0.0508)  1 P 1.50